[1]
The following is a DFT calculation (PBE-GGA) of an optimized crystal structure of Ce4Zn2Os.

Calculated values
As for the space group: P2/m (10). Its crystal system is monoclinic. The calculation puts the energy at -37.5 eV per cell.

Lattice parameters (Å, degrees): 6.8737 3.1593 8.1191 90.00 107.58 90.00
Last column: nearest neighbours and their distance in Å.
Positions (direct):
1 Ce 0.0706 0.0000 0.2019  1 Os 2.61
2 Ce 0.3776 0.5000 0.6093  1 Ce 2.79, 2 Os 2.94
3 Ce 0.6224 0.5000 0.3907  1 Ce 2.79, 2 Os 2.94
4 Ce 0.9294 0.0000 0.7981  1 Os 2.61
5 Zn 0.3207 0.5000 0.0000  1 Zn 2.46
6 Zn 0.6793 0.5000 0.0000  1 Zn 2.46
7 Os 0.0000 0.0000 0.5000  2 Ce 2.61

***

[2]
The following is a DFT calculation (PBE-GGA) of an optimized crystal structure of Ce3ZnOs2.

Calculated values
As for the space group: C2/c (15). Its crystal system is monoclinic. The calculation puts the energy at -83.6 eV per cell.

Lattice parameters (Å, degrees): 7.1257 7.1257 8.1061 106.52 106.52 47.50
Last column: nearest neighbours and their distance in Å.
Positions (direct):
1 Ce 0.0169 0.9831 0.7500  4 Os 2.81, 2 Zn 2.85-2.89
2 Ce 0.3070 0.3134 0.9051  4 Os 2.78-2.90, 2 Zn 3.11
3 Ce 0.3134 0.3070 0.4051  4 Os 2.78-2.90, 2 Zn 3.11
4 Ce 0.6866 0.6930 0.5949  4 Os 2.78-2.90, 2 Zn 3.11
5 Ce 0.6930 0.6866 0.0949  4 Os 2.78-2.90, 2 Zn 3.11
6 Ce 0.9831 0.0169 0.2500  4 Os 2.81, 2 Zn 2.85-2.89
7 Zn 0.4804 0.5196 0.2500  6 Ce 2.85-3.11
8 Zn 0.5196 0.4804 0.7500  6 Ce 2.85-3.11
9 Os 0.1536 0.1595 0.5783  6 Ce 2.78-2.90
10 Os 0.1595 0.1536 0.0783  6 Ce 2.78-2.90
11 Os 0.8405 0.8464 0.9217  6 Ce 2.78-2.90
12 Os 0.8464 0.8405 0.4217  6 Ce 2.78-2.90

***

[3]
The following is a DFT calculation (PBE-GGA) of an optimized crystal structure of Ce6ZnOs2.

Calculated values
As for the space group: P2_1/c (14). As for the distance to the lowest polymorph of the same formula: 159 meV/atom. Its crystal system is monoclinic. The calculation puts the energy at -119.3 eV per cell.

Lattice parameters (Å, degrees): 6.3733 7.3931 11.3876 90.00 123.26 90.00
Last column: nearest neighbours and their distance in Å.
Positions (direct):
1 Ce 0.0751 0.0750 0.2236  1 Os 2.69, 1 Zn 2.86
2 Ce 0.0751 0.4250 0.7236  1 Os 2.69, 1 Zn 2.86
3 Ce 0.2004 0.6921 0.0767  1 Os 2.67, 1 Zn 2.87
4 Ce 0.2004 0.8079 0.5767  1 Os 2.67, 1 Zn 2.87
5 Ce 0.4050 0.1308 0.0482  1 Ce 2.80, 2 Os 2.86-3.11, 1 Zn 2.91
6 Ce 0.4050 0.3692 0.5482  1 Ce 2.80, 2 Os 2.86-3.11, 1 Zn 2.91
7 Ce 0.5950 0.6308 0.4518  1 Ce 2.80, 2 Os 2.86-3.11, 1 Zn 2.91
8 Ce 0.5950 0.8692 0.9518  1 Ce 2.80, 2 Os 2.86-3.11, 1 Zn 2.91
9 Ce 0.7996 0.1921 0.4233  1 Os 2.67, 1 Zn 2.87
10 Ce 0.7996 0.3079 0.9233  1 Os 2.67, 1 Zn 2.87
11 Ce 0.9249 0.5750 0.2764  1 Os 2.69, 1 Zn 2.86
12 Ce 0.9249 0.9250 0.7764  1 Os 2.69, 1 Zn 2.86
13 Zn 0.5000 0.0000 0.5000  6 Ce 2.86-2.91
14 Zn 0.5000 0.5000 0.0000  6 Ce 2.86-2.91
15 Os 0.2921 0.1126 0.7239  3 Ce 2.67-2.86
16 Os 0.2921 0.3874 0.2239  3 Ce 2.67-2.86
17 Os 0.7079 0.6126 0.7761  3 Ce 2.67-2.86
18 Os 0.7079 0.8874 0.2761  3 Ce 2.67-2.86

***

[4]
The following is a DFT calculation (PBE-GGA) of an optimized crystal structure of Ce12ZnOs6.

Calculated values
As for the space group: R-3m (166). Its crystal system is trigonal. The calculation puts the energy at -139.2 eV per cell.

Lattice parameters (Å, degrees): 8.4029 8.4029 8.4029 107.33 107.33 107.33
Last column: nearest neighbours and their distance in Å.
Positions (direct):
1 Ce 0.0000 0.3859 0.6141  4 Os 2.87-3.00, 1 Ce 3.09
2 Ce 0.0000 0.6141 0.3859  4 Os 2.87-3.00, 1 Ce 3.09
3 Ce 0.0872 0.0872 0.3471  3 Os 2.67-2.97
4 Ce 0.0872 0.3471 0.0872  3 Os 2.67-2.97
5 Ce 0.3471 0.0872 0.0872  3 Os 2.67-2.97
6 Ce 0.3859 0.0000 0.6141  4 Os 2.87-3.00, 1 Ce 3.09
7 Ce 0.3859 0.6141 0.0000  4 Os 2.87-3.00, 1 Ce 3.09
8 Ce 0.6141 0.0000 0.3859  4 Os 2.87-3.00, 1 Ce 3.09
9 Ce 0.6141 0.3859 0.0000  4 Os 2.87-3.00, 1 Ce 3.09
10 Ce 0.6529 0.9128 0.9128  3 Os 2.67-2.97
11 Ce 0.9128 0.6529 0.9128  3 Os 2.67-2.97
12 Ce 0.9128 0.9128 0.6529  3 Os 2.67-2.97
13 Zn 0.5000 0.5000 0.5000  6 Ce 3.64
14 Os 0.1957 0.7791 0.7791  5 Ce 2.67-2.97
15 Os 0.2209 0.2209 0.8043  5 Ce 2.67-2.97
16 Os 0.2209 0.8043 0.2209  5 Ce 2.67-2.97
17 Os 0.7791 0.1957 0.7791  5 Ce 2.67-2.97
18 Os 0.7791 0.7791 0.1957  5 Ce 2.67-2.97
19 Os 0.8043 0.2209 0.2209  5 Ce 2.67-2.97

***

[5]
The following is a DFT calculation (PBE-GGA) of an optimized crystal structure of Ce8ZnOs5.

Calculated values
As for the space group: I-4 (82). Its crystal system is tetragonal. The calculation puts the energy at -107.1 eV per cell.

Lattice parameters (Å, degrees): 7.5207 7.5207 7.5207 108.58 108.58 111.26
Last column: nearest neighbours and their distance in Å.
Positions (direct):
1 Ce 0.0083 0.3751 0.2405  4 Os 2.78-3.08
2 Ce 0.1346 0.7678 0.7595  4 Os 2.78-3.08
3 Ce 0.1456 0.2591 0.7641  2 Os 2.70-2.82, 1 Zn 2.97
4 Ce 0.2322 0.9917 0.3668  4 Os 2.78-3.08
5 Ce 0.4950 0.3815 0.2359  2 Os 2.70-2.82, 1 Zn 2.97
6 Ce 0.6185 0.8544 0.1136  2 Os 2.70-2.82, 1 Zn 2.97
7 Ce 0.6249 0.8654 0.6332  4 Os 2.78-3.08
8 Ce 0.7409 0.5050 0.8864  2 Os 2.70-2.82, 1 Zn 2.97
9 Zn 0.7500 0.2500 0.5000  8 Ce 2.97-3.28
10 Os 0.0000 0.0000 0.0000  4 Ce 2.79
11 Os 0.2421 0.6357 0.1106  4 Ce 2.70-2.82
12 Os 0.3643 0.4748 0.6063  4 Ce 2.70-2.82
13 Os 0.5252 0.1315 0.8894  4 Ce 2.70-2.82
14 Os 0.8685 0.7579 0.3937  4 Ce 2.70-2.82

***

[6]
The following is a DFT calculation (PBE-GGA) of an optimized crystal structure of Ce6ZnOs2.

Calculated values
As for the space group: C2/m (12). As for the distance to the lowest polymorph of the same formula: 0 meV/atom. Its crystal system is monoclinic. The calculation puts the energy at -61.1 eV per cell.

Lattice parameters (Å, degrees): 5.5744 5.5744 8.7482 96.02 96.02 52.17
Last column: nearest neighbours and their distance in Å.
Positions (direct):
1 Ce 0.0510 0.0510 0.3537  3 Ce 2.86-2.95, 3 Os 3.01, 1 Zn 3.08
2 Ce 0.3058 0.3058 0.9095  1 Os 2.54
3 Ce 0.3864 0.3864 0.3259  3 Os 2.91-3.00, 2 Ce 2.95
4 Ce 0.6136 0.6136 0.6741  3 Os 2.91-3.00, 2 Ce 2.95
5 Ce 0.6942 0.6942 0.0905  1 Os 2.54
6 Ce 0.9490 0.9490 0.6463  3 Ce 2.86-2.95, 3 Os 3.01, 1 Zn 3.08
7 Zn 0.0000 0.0000 0.0000  8 Ce 3.08-3.25
8 Os 0.2735 0.2735 0.6174  1 Ce 2.54
9 Os 0.7265 0.7265 0.3826  1 Ce 2.54

***

[7]
The following is a DFT calculation (PBE-GGA) of an optimized crystal structure of Ce7ZnOs2.

Calculated values
As for the space group: Cmmm (65). Its crystal system is orthorhombic. The calculation puts the energy at -64.4 eV per cell.

Lattice parameters (Å, degrees): 7.9533 7.9533 5.1769 90.00 90.00 113.75
Last column: nearest neighbours and their distance in Å.
Positions (direct):
1 Ce 0.0000 0.0000 0.0000  2 Os 2.54
2 Ce 0.2183 0.7817 0.5000  2 Os 2.61
3 Ce 0.2227 0.4450 0.0000  2 Ce 2.89-2.96, 2 Os 3.01-3.09
4 Ce 0.4450 0.2227 0.0000  2 Ce 2.89-2.96, 2 Os 3.01-3.09
5 Ce 0.5550 0.7773 0.0000  2 Ce 2.89-2.96, 2 Os 3.01-3.09
6 Ce 0.7773 0.5550 0.0000  2 Ce 2.89-2.96, 2 Os 3.01-3.09
7 Ce 0.7817 0.2183 0.5000  2 Os 2.61
8 Zn 0.5000 0.5000 0.5000  8 Ce 3.31
9 Os 0.1908 0.8092 0.0000  3 Ce 2.54-2.61
10 Os 0.8092 0.1908 0.0000  3 Ce 2.54-2.61

***

[8]
The following is a DFT calculation (PBE-GGA) of an optimized crystal structure of Ce8Zn3Os2.

Calculated values
As for the space group: C2/m (12). Its crystal system is monoclinic. The calculation puts the energy at -75.1 eV per cell.

Lattice parameters (Å, degrees): 8.3780 8.3780 5.3880 97.30 97.30 59.27
Last column: nearest neighbours and their distance in Å.
Positions (direct):
1 Ce 0.1155 0.1155 0.0444  1 Ce 2.78, 1 Os 2.79
2 Ce 0.1670 0.5694 0.4374  2 Os 2.74-2.95, 1 Ce 2.87
3 Ce 0.3043 0.3043 0.0128  1 Os 2.74, 3 Ce 2.78-2.87
4 Ce 0.4306 0.8330 0.5626  2 Os 2.74-2.95, 1 Ce 2.87
5 Ce 0.5694 0.1670 0.4374  2 Os 2.74-2.95, 1 Ce 2.87
6 Ce 0.6957 0.6957 0.9872  1 Os 2.74, 3 Ce 2.78-2.87
7 Ce 0.8330 0.4306 0.5626  2 Os 2.74-2.95, 1 Ce 2.87
8 Ce 0.8845 0.8845 0.9556  1 Ce 2.78, 1 Os 2.79
9 Zn 0.0000 0.0000 0.5000  2 Os 3.04, 8 Ce 3.12-3.17
10 Zn 0.3350 0.6650 0.0000  1 Zn 2.73
11 Zn 0.6650 0.3350 0.0000  1 Zn 2.73
12 Os 0.2104 0.2104 0.5342  6 Ce 2.74-2.95, 1 Zn 3.04
13 Os 0.7896 0.7896 0.4658  6 Ce 2.74-2.95, 1 Zn 3.04

***

[9]
The following is a DFT calculation (PBE-GGA) of an optimized crystal structure of Ce5ZnOs2.

Calculated values
As for the space group: Cmcm (63). Its crystal system is orthorhombic. The calculation puts the energy at -107.9 eV per cell.

Lattice parameters (Å, degrees): 6.6269 6.6269 13.2413 90.00 90.00 131.39
Last column: nearest neighbours and their distance in Å.
Positions (direct):
1 Ce 0.0598 0.9402 0.6381  2 Os 2.77-2.86, 1 Ce 2.96
2 Ce 0.0598 0.9402 0.8619  2 Os 2.77-2.86, 1 Ce 2.96
3 Ce 0.2322 0.7678 0.2500  2 Os 2.69
4 Ce 0.3556 0.6444 0.5492  3 Os 2.73-2.84
5 Ce 0.3556 0.6444 0.9508  3 Os 2.73-2.84
6 Ce 0.6444 0.3556 0.0492  3 Os 2.73-2.84
7 Ce 0.6444 0.3556 0.4508  3 Os 2.73-2.84
8 Ce 0.7678 0.2322 0.7500  2 Os 2.69
9 Ce 0.9402 0.0598 0.1381  2 Os 2.77-2.86, 1 Ce 2.96
10 Ce 0.9402 0.0598 0.3619  2 Os 2.77-2.86, 1 Ce 2.96
11 Zn 0.4938 0.5062 0.2500  7 Ce 3.16-3.22
12 Zn 0.5062 0.4938 0.7500  7 Ce 3.16-3.22
13 Os 0.1533 0.8467 0.0604  6 Ce 2.69-2.86
14 Os 0.1533 0.8467 0.4396  6 Ce 2.69-2.86
15 Os 0.8467 0.1533 0.5604  6 Ce 2.69-2.86
16 Os 0.8467 0.1533 0.9396  6 Ce 2.69-2.86

***

[10]
The following is a DFT calculation (PBE-GGA) of an optimized crystal structure of Ce5Zn2Os.

Calculated values
As for the space group: Cmcm (63). Its crystal system is orthorhombic. The calculation puts the energy at -88.8 eV per cell.

Lattice parameters (Å, degrees): 5.5063 5.5063 15.6927 90.00 90.00 130.94
Last column: nearest neighbours and their distance in Å.
Positions (direct):
1 Ce 0.0480 0.9520 0.7500  3 Os 2.82-3.16
2 Ce 0.1737 0.8263 0.5487  3 Ce 2.87-3.15, 2 Zn 3.06
3 Ce 0.1737 0.8263 0.9513  3 Ce 2.87-3.15, 2 Zn 3.06
4 Ce 0.4514 0.5486 0.5936  1 Os 2.74, 1 Ce 2.87
5 Ce 0.4514 0.5486 0.9064  1 Os 2.74, 1 Ce 2.87
6 Ce 0.5486 0.4514 0.0936  1 Os 2.74, 1 Ce 2.87
7 Ce 0.5486 0.4514 0.4064  1 Os 2.74, 1 Ce 2.87
8 Ce 0.8263 0.1737 0.0487  3 Ce 2.87-3.15, 2 Zn 3.06
9 Ce 0.8263 0.1737 0.4513  3 Ce 2.87-3.15, 2 Zn 3.06
10 Ce 0.9520 0.0480 0.2500  3 Os 2.82-3.16
11 Zn 0.2401 0.7599 0.1662  1 Zn 2.63, 2 Os 2.73
12 Zn 0.2401 0.7599 0.3338  1 Zn 2.63, 2 Os 2.73
13 Zn 0.7599 0.2401 0.6662  1 Zn 2.63, 2 Os 2.73
14 Zn 0.7599 0.2401 0.8338  1 Zn 2.63, 2 Os 2.73
15 Os 0.3299 0.6701 0.7500  4 Zn 2.73, 3 Ce 2.74-2.82
16 Os 0.6701 0.3299 0.2500  4 Zn 2.73, 3 Ce 2.74-2.82

***

[11]
The following is a DFT calculation (PBE-GGA) of an optimized crystal structure of CeZrOs2.

Calculated values
As for the space group: P4/mmm (123). Its crystal system is tetragonal. The calculation puts the energy at -38.0 eV per cell.

Lattice parameters (Å, degrees): 3.2732 3.2732 7.1661 90.00 90.00 90.00
Last column: nearest neighbours and their distance in Å.
Positions (direct):
1 Ce 0.0000 0.0000 0.0000  8 Os 3.03, 4 Ce 3.27
2 Zr 0.0000 0.0000 0.5000  8 Os 2.83
3 Os 0.5000 0.5000 0.2732  4 Zr 2.83, 4 Ce 3.03
4 Os 0.5000 0.5000 0.7268  4 Zr 2.83, 4 Ce 3.03

***

| no. | formation energy (eV per atom) |
| --- | --- |
| 1 | 0.00 |
| 2 | -0.04 |
| 3 | -0.03 |
| 4 | 0.03 |
| 5 | -0.16 |
| 6 | -0.19 |
| 7 | 0.09 |
| 8 | -0.11 |
| 9 | -0.07 |
| 10 | -0.12 |
| 11 | -0.26 |